{"formula": "CeHo3Pd12", "functional": "PBE-GGA", "state": "optimized geometry", "final_energy_ev_per_cell": -96.22, "dos_ef_per_ev_atom": 0.3799, "lattice": [[4.1227, 0.0000, 0.0000], [0.0000, 4.1227, 0.0000], [0.0000, 0.0000, 16.4545]], "species": ["Ce", "Ho", "Ho", "Ho", "Pd", "Pd", "Pd", "Pd", "Pd", "Pd", "Pd", "Pd", "Pd", "Pd", "Pd", "Pd"], "frac_coords": [[0.0000, 0.0000, 0.0000], [0.0000, 0.0000, 0.2526], [0.0000, 0.0000, 0.5000], [0.0000, 0.0000, 0.7474], [0.0000, 0.5000, 0.1239], [0.0000, 0.5000, 0.3749], [0.0000, 0.5000, 0.6251], [0.0000, 0.5000, 0.8761], [0.5000, 0.0000, 0.1239], [0.5000, 0.0000, 0.3749], [0.5000, 0.0000, 0.6251], [0.5000, 0.0000, 0.8761], [0.5000, 0.5000, 0.0000], [0.5000, 0.5000, 0.2497], [0.5000, 0.5000, 0.5000], [0.5000, 0.5000, 0.7503]]}


{"formula": "Ti6PtC", "functional": "PBE-GGA", "state": "optimized geometry", "final_energy_ev_per_cell": -66.10, "dos_ef_per_ev_atom": 1.0534, "lattice": [[4.7459, 0.0000, 0.0000], [-0.2071, 5.2878, 0.0000], [-1.9754, -0.7151, 4.9342]], "species": ["Ti", "Ti", "Ti", "Ti", "Ti", "Ti", "Pt", "C"], "frac_coords": [[0.0577, 0.2939, 0.1590], [0.2198, 0.8335, 0.4574], [0.4056, 0.3917, 0.7465], [0.5944, 0.6083, 0.2535], [0.7802, 0.1665, 0.5426], [0.9423, 0.7061, 0.8410], [0.5000, 0.0000, 0.0000], [0.0000, 0.5000, 0.5000]]}


{"formula": "NaLiEr2Cl8", "functional": "PBE-GGA", "state": "optimized geometry", "final_energy_ev_per_cell": -52.43, "dos_ef_per_ev_atom": 0.0000, "lattice": [[6.4546, 0.0000, 0.0000], [0.0000, 7.9837, 0.0000], [-0.6672, 0.0000, 6.4339]], "species": ["Na", "Li", "Er", "Er", "Cl", "Cl", "Cl", "Cl", "Cl", "Cl", "Cl", "Cl"], "frac_coords": [[0.0000, 0.0000, 0.0000], [0.0000, 0.5000, 0.0000], [0.5000, 0.2537, 0.5000], [0.5000, 0.7463, 0.5000], [0.2033, 0.2662, 0.1994], [0.2033, 0.7338, 0.1994], [0.3117, 0.5000, 0.6838], [0.3166, 0.0000, 0.6793], [0.6834, 0.0000, 0.3207], [0.6883, 0.5000, 0.3162], [0.7967, 0.2662, 0.8006], [0.7967, 0.7338, 0.8006]]}


{"formula": "ScZn2B2O6", "functional": "PBE-GGA", "state": "optimized geometry", "final_energy_ev_per_cell": -75.66, "dos_ef_per_ev_atom": 0.1848, "lattice": [[4.9084, 0.0000, 0.0000], [-2.4542, 4.2508, 0.0000], [0.0000, 0.0000, 6.8493]], "species": ["Sc", "Zn", "Zn", "B", "B", "O", "O", "O", "O", "O", "O"], "frac_coords": [[0.0000, 0.0000, 0.0000], [0.3333, 0.6667, 0.2996], [0.6667, 0.3333, 0.7004], [0.3333, 0.6667, 0.8097], [0.6667, 0.3333, 0.1903], [0.0623, 0.6878, 0.8123], [0.3122, 0.3745, 0.8123], [0.3745, 0.0623, 0.1877], [0.6255, 0.9377, 0.8123], [0.6878, 0.6255, 0.1877], [0.9377, 0.3122, 0.1877]]}


{"formula": "Ba2GaTe2", "functional": "PBE-GGA", "state": "optimized geometry", "final_energy_ev_per_cell": -37.88, "dos_ef_per_ev_atom": 0.1731, "lattice": [[9.1496, 0.0000, 0.0000], [0.0000, 9.1496, 0.0000], [0.0000, 0.0000, 4.6170]], "species": ["Ba", "Ba", "Ba", "Ba", "Ga", "Ga", "Te", "Te", "Te", "Te"], "frac_coords": [[0.1534, 0.3466, 0.0000], [0.3466, 0.8466, 0.0000], [0.6534, 0.1534, 0.0000], [0.8466, 0.6534, 0.0000], [0.0000, 0.0000, 0.5000], [0.5000, 0.5000, 0.5000], [0.1537, 0.6537, 0.5000], [0.3463, 0.1537, 0.5000], [0.6537, 0.8463, 0.5000], [0.8463, 0.3463, 0.5000]]}


{"formula": "La2AlHg2", "functional": "PBE-GGA", "state": "optimized geometry", "e_above_lowest_polymorph_mev_per_atom": 0, "dos_ef_per_ev_atom": 0.9386, "lattice": [[5.7612, -2.3531, 0.0000], [5.7612, 2.3531, 0.0000], [-5.4814, 0.0000, 10.2580]], "species": ["La", "La", "La", "La", "Al", "Al", "Hg", "Hg", "Hg", "Hg"], "frac_coords": [[0.0111, 0.0111, 0.3409], [0.1871, 0.1871, 0.1078], [0.8129, 0.8129, 0.8922], [0.9889, 0.9889, 0.6591], [0.2824, 0.2824, 0.6589], [0.7176, 0.7176, 0.3411], [0.3479, 0.3479, 0.4385], [0.4738, 0.4738, 0.1196], [0.5262, 0.5262, 0.8804], [0.6521, 0.6521, 0.5615]]}